# CoSe2Br | the Alexandria database | GGA-PBE | relaxed
# E_form (uncorrected)	-49	meV per atom
data_CoSe2Br
_chemical_formula_sum 'Co16 Se32 Br16'
_symmetry_space_group_name_H-M 'C 1 2/c 1'
_symmetry_Int_Tables_number 15
_symmetry_space_group_name_Hall '-C 2yc'
_cell_length_a 14.7414
_cell_length_b 14.0815
_cell_length_c 7.5144
_cell_angle_alpha 90.00
_cell_angle_beta 106.06
_cell_angle_gamma 90.00
loop_
_atom_site_label
_atom_site_fract_x
_atom_site_fract_y
_atom_site_fract_z
Co1 0.0665 0.1531 0.3849
Co2 0.2329 0.4333 0.2190
Se1 0.0000 0.0094 0.2500
Se2 0.0000 0.3036 0.2500
Se3 0.0947 0.1648 0.0951
Se4 0.1141 0.3426 0.0252
Se5 0.1906 0.0018 0.4817
Br1 0.1164 0.4502 0.6689
Br2 0.1706 0.2008 0.6711